VASP calculation (PBE-GGA) on an optimized crystal structure of GaSbOs2Ru. Values from VASP.

```
&SYSTEM
  ibrav = 0, nat = 5, ntyp = 4
/
ATOMIC_SPECIES
Ga 69.72 Ga.upf
Sb 121.76 Sb.upf
Os 190.23 Os.upf
Ru 101.07 Ru.upf
CELL_PARAMETERS angstrom
4.816 0.000 0.000
0.000 4.816 0.000
0.000 0.000 4.996
ATOMIC_POSITIONS crystal
Ga 0.000 0.000 0.000
Sb 0.000 0.000 0.500
Os 0.000 0.500 0.500
Os 0.500 0.000 0.500
Ru 0.500 0.500 0.000
```

Values from the calculation:
* SG: P4/mmm (123)
* crystal system: tetragonal
* E: -5.3808 eV per atom
* total magnetic moment: 0.59 μB per atom
* formation energy (no corrections): 2396 meV/atom

VASP calculation (PBE-GGA) on an optimized crystal structure of AlFeOs2. Values from VASP.

```
&SYSTEM
  ibrav = 0, nat = 4, ntyp = 3
/
ATOMIC_SPECIES
Al 26.98 Al.upf
Fe 55.84 Fe.upf
Os 190.23 Os.upf
CELL_PARAMETERS angstrom
4.290 -1.371 0.000
4.290 1.371 0.000
-0.925 0.000 4.679
ATOMIC_POSITIONS crystal
Al 0.000 0.000 0.000
Fe 0.500 0.500 0.500
Os 0.248 0.248 0.739
Os 0.752 0.752 0.261
```

Values from the calculation:
* SG: C2/m (12)
* crystal system: monoclinic
* E: -8.6768 eV per atom
* total magnetic moment: 0.61 μB per atom
* ΔH_f (0 K): -0.01 eV/atom

VASP calculation (PBE-GGA) on an optimized crystal structure of CoGe2IN. Values from VASP.

```
&SYSTEM
  ibrav = 0, nat = 5, ntyp = 4
/
ATOMIC_SPECIES
Co 58.93 Co.upf
Ge 72.64 Ge.upf
I 126.90 I.upf
N 14.01 N.upf
CELL_PARAMETERS angstrom
5.164 0.000 0.000
0.000 5.164 0.000
0.000 0.000 3.526
ATOMIC_POSITIONS crystal
Co 0.000 0.000 0.000
Ge 0.000 0.500 0.500
Ge 0.500 0.000 0.500
I 0.500 0.500 0.000
N 0.000 0.000 0.500
```

Values from the calculation:
* SG: P4/mmm (123)
* crystal system: tetragonal
* E: -4.6794 eV per atom
* total magnetic moment: 0.00 μB per atom
* formation energy (no corrections): 564 meV/atom

VASP calculation (PBE-GGA) on an optimized crystal structure of AcNdEu2. Values from VASP.

```
&SYSTEM
  ibrav = 0, nat = 4, ntyp = 3
/
ATOMIC_SPECIES
Ac 227.00 Ac.upf
Nd 144.24 Nd.upf
Eu 151.96 Eu.upf
CELL_PARAMETERS angstrom
3.858 0.000 0.000
0.000 3.858 0.000
0.000 0.000 10.849
ATOMIC_POSITIONS crystal
Ac 0.000 0.000 0.000
Nd 0.000 0.000 0.500
Eu 0.500 0.500 0.260
Eu 0.500 0.500 0.740
```

Values from the calculation:
* SG: P4/mmm (123)
* offset from the most stable computed form: 0.0174 eV per atom
* crystal system: tetragonal
* E: -7.2825 eV per atom
* total magnetic moment: 3.71 μB per atom
* ΔH_f (0 K): 0.07 eV/atom

VASP calculation (PBE-GGA) on an optimized crystal structure of YReBi2O8. Values from VASP.

```
&SYSTEM
  ibrav = 0, nat = 12, ntyp = 4
/
ATOMIC_SPECIES
Y 88.91 Y.upf
Re 186.21 Re.upf
Bi 208.98 Bi.upf
O 16.00 O.upf
CELL_PARAMETERS angstrom
5.228 0.000 0.000
0.000 6.724 0.000
-0.053 0.000 5.233
ATOMIC_POSITIONS crystal
Y 0.000 0.000 0.000
Re 0.000 0.500 0.000
Bi 0.500 0.252 0.500
Bi 0.500 0.748 0.500
O 0.179 0.286 0.176
O 0.179 0.714 0.176
O 0.247 0.500 0.748
O 0.305 0.000 0.693
O 0.695 0.000 0.307
O 0.753 0.500 0.252
O 0.821 0.286 0.824
O 0.821 0.714 0.824
```

Values from the calculation:
* SG: P2/m (10)
* crystal system: monoclinic
* E: -7.3231 eV per atom
* total magnetic moment: 0.00 μB per atom
* formation energy (no corrections): -1795 meV/atom

VASP calculation (PBE-GGA) on an optimized crystal structure of ScRe3Cl. Values from VASP.

```
&SYSTEM
  ibrav = 0, nat = 5, ntyp = 3
/
ATOMIC_SPECIES
Sc 44.96 Sc.upf
Re 186.21 Re.upf
Cl 35.45 Cl.upf
CELL_PARAMETERS angstrom
4.397 0.000 0.000
0.000 4.397 0.000
0.000 0.000 4.397
ATOMIC_POSITIONS crystal
Sc 0.000 0.000 0.000
Re 0.000 0.500 0.500
Re 0.500 0.000 0.500
Re 0.500 0.500 0.000
Cl 0.500 0.500 0.500
```

Values from the calculation:
* SG: Pm-3m (221)
* offset from the most stable computed form: 0.0000 eV per atom
* crystal system: cubic
* E: -7.8702 eV per atom
* total magnetic moment: 0.00 μB per atom
* formation energy (no corrections): 1234 meV/atom